The following is a DFT calculation (GGA-PBEsol) of an optimized crystal structure of CaAl2Cr2.

The structure in POSCAR format:
```
CaAl2Cr2
1.0
4.277 0.000 0.000
0.000 4.277 0.000
-2.138 -2.138 4.891
Cr Ca Al
2 1 2
Direct
0.407 0.407 0.814
0.593 0.593 0.186
0.000 0.000 0.000
0.250 0.750 0.500
0.750 0.250 0.500
```

## Properties
For the density of states at the Fermi level, the calculation gives 3.61 states/eV/f.u. The calculation puts the calculated volume at 89.5 Å³/cell. The energy relative to the elements comes out at 313 meV per atom.



The following is a DFT calculation (GGA-PBEsol) of an optimized crystal structure of Mg4ZnSe2.

The structure in POSCAR format:
```
Mg4ZnSe2
1.0
-2.080 1.809 5.172
-0.287 -5.830 -0.528
5.676 1.319 -0.632
Mg Se Zn
4 2 1
Direct
0.000 0.720 0.280
0.000 0.280 0.720
0.561 0.280 0.280
0.439 0.720 0.720
0.500 0.250 0.750
0.500 0.750 0.250
0.000 0.000 0.000
```

## Properties
For the density of states at the Fermi level, the calculation gives 3.93 states/eV/f.u. The calculation puts the calculated volume at 154.3 Å³/cell. For the formation energy (no corrections), the calculation gives -0.226 eV/atom.



The following is a DFT calculation (GGA-PBEsol) of an optimized crystal structure of Zr2SbTe.

The structure in POSCAR format:
```
Zr2SbTe
1.0
-0.655 3.476 1.377
-3.437 -1.110 1.168
2.524 -1.792 5.725
Sb Te Zr
1 1 2
Direct
0.000 0.000 0.442
0.500 0.500 0.807
0.000 0.000 0.977
0.500 0.500 0.273
```

## Properties
For the density of states at the Fermi level, the calculation gives 1.54 states/eV/f.u. The calculation puts the calculated volume at 93.8 Å³/cell. For the formation energy (no corrections), the calculation gives -0.805 eV/atom.



The following is a DFT calculation (GGA-PBEsol) of an optimized crystal structure of Er2Si3Rh.

The structure in POSCAR format:
```
Er2Si3Rh
1.0
7.631 0.000 0.000
0.000 8.077 0.000
0.000 -4.039 6.995
Er Si Rh
8 12 4
Direct
0.250 0.000 0.000
0.750 0.000 0.000
0.250 0.490 0.510
0.250 0.020 0.510
0.250 0.490 0.980
0.750 0.510 0.490
0.750 0.510 0.020
0.750 0.980 0.490
0.002 0.833 0.167
0.002 0.334 0.167
0.002 0.833 0.666
0.498 0.833 0.167
0.498 0.334 0.167
0.498 0.833 0.666
0.502 0.167 0.833
0.502 0.167 0.334
0.502 0.666 0.833
0.998 0.167 0.833
0.998 0.167 0.334
0.998 0.666 0.833
0.037 0.667 0.333
0.463 0.667 0.333
0.537 0.333 0.667
0.963 0.333 0.667
```

## Properties
For the density of states at the Fermi level, the calculation gives 1.59 states/eV/f.u. The calculation puts the calculated volume at 431.2 Å³/cell. For the formation energy (no corrections), the calculation gives -0.980 eV/atom.